# PBE SrYP2, optimized geometry
# - Total DFT energy (no corrections): -5.6039 eV/atom
# - Offset from the most stable computed form: 1.19 eV per formula unit
# - Formation energy from the elements: -862 meV/atom
data_SrYP2
_cell_length_a 5.2124
_cell_length_b 5.2124
_cell_length_c 5.2124
_cell_angle_alpha 128.33
_cell_angle_beta 113.98
_cell_angle_gamma 88.48
_space_group_name_H-M_alt 'P 1'
_space_group_IT_number 1
_space_group_name_Hall 'P 1'
loop_
_atom_site_label
_atom_site_type_symbol
_atom_site_fract_x
_atom_site_fract_y
_atom_site_fract_z
P1 P 0.0126 0.0126 0.0000
P2 P 0.4874 0.4874 0.0000
Sr1 Sr 0.7500 0.2500 0.5000
Y1 Y 0.2500 0.7500 0.5000

***

# PBE TmScFe, optimized geometry
# - Total DFT energy (no corrections): -6.4788 eV/atom
# - Formation energy from the elements: -57 meV/atom
data_TmScFe
_cell_length_a 3.2038
_cell_length_b 3.2038
_cell_length_c 6.4244
_cell_angle_alpha 104.44
_cell_angle_beta 104.44
_cell_angle_gamma 90.00
_space_group_name_H-M_alt 'P 1'
_space_group_IT_number 1
_space_group_name_Hall 'P 1'
loop_
_atom_site_label
_atom_site_type_symbol
_atom_site_fract_x
_atom_site_fract_y
_atom_site_fract_z
Sc1 Sc 0.2917 0.2917 0.5834
Tm1 Tm 0.0357 0.0357 0.0714
Fe1 Fe 0.6726 0.6726 0.3452

***

# PBE CaBeCr2, optimized geometry
# - Total DFT energy (no corrections): -5.7545 eV/atom
# - Formation energy from the elements: 489 meV/atom
data_CaBeCr2
_cell_length_a 3.1552
_cell_length_b 3.1552
_cell_length_c 6.4041
_cell_angle_alpha 90.00
_cell_angle_beta 90.00
_cell_angle_gamma 90.00
_space_group_name_H-M_alt 'P 1'
_space_group_IT_number 1
_space_group_name_Hall 'P 1'
loop_
_atom_site_label
_atom_site_type_symbol
_atom_site_fract_x
_atom_site_fract_y
_atom_site_fract_z
Cr1 Cr 0.0000 0.0000 0.1049
Cr2 Cr 0.0000 0.0000 0.3951
Ca1 Ca 0.5000 0.5000 0.7500
Be1 Be 0.5000 0.5000 0.2500